# 1
Material: AlP4Br
Method: DFT, PBE
State: optimized geometry

raw formation energy	0.200	eV per atom
V	25.7	Å³ per atom
M_tot	0.000	μB/atom

```
data_AlP4Br
_symmetry_space_group_name_H-M 'F -4 3 m'
_symmetry_Int_Tables_number 216
_symmetry_space_group_name_Hall 'F -4 2 3'
_cell_length_a 8.510
_cell_length_b 8.510
_cell_length_c 8.510
_cell_angle_alpha 90.00
_cell_angle_beta 90.00
_cell_angle_gamma 90.00
loop_
_atom_site_label
_atom_site_type_symbol
_atom_site_fract_x
_atom_site_fract_y
_atom_site_fract_z
Al1 Al 0.000 0.000 0.000
P1 P 0.092 0.092 0.408
Br1 Br 0.250 0.250 0.750
```

# 2
Material: AlP2Br
Method: DFT, PBE
State: optimized geometry

distance to the lowest polymorph of the same formula	533	meV/atom
raw formation energy	0.387	eV per atom
V	18.6	Å³ per atom
M_tot	0.000	μB/atom

```
data_AlP2Br
_symmetry_space_group_name_H-M 'I m m m'
_symmetry_Int_Tables_number 71
_symmetry_space_group_name_Hall '-I 2 2'
_cell_length_a 3.122
_cell_length_b 4.670
_cell_length_c 10.185
_cell_angle_alpha 90.00
_cell_angle_beta 90.00
_cell_angle_gamma 90.00
loop_
_atom_site_label
_atom_site_type_symbol
_atom_site_fract_x
_atom_site_fract_y
_atom_site_fract_z
Al1 Al 0.000 0.000 0.000
P1 P 0.000 0.500 0.294
Br1 Br 0.000 0.000 0.500
```

# 3
Material: AlP2Br
Method: DFT, PBE
State: optimized geometry

distance to the lowest polymorph of the same formula	13	meV/atom
raw formation energy	-0.133	eV per atom
V	25.4	Å³ per atom
M_tot	0.000	μB/atom

```
data_AlP2Br
_symmetry_space_group_name_H-M 'C 1 m 1'
_symmetry_Int_Tables_number 8
_cell_length_a 8.120
_cell_length_b 3.286
_cell_length_c 8.267
_cell_angle_alpha 90.00
_cell_angle_beta 112.97
_cell_angle_gamma 90.00
loop_
_symmetry_equiv_pos_as_xyz
'x,y,z'
'x,-y,z'
'x+1/2,y+1/2,z'
'x+1/2,-y+1/2,z'
loop_
_atom_site_label
_atom_site_type_symbol
_atom_site_fract_x
_atom_site_fract_y
_atom_site_fract_z
Al1 Al 0.000 0.000 0.000
P1 P 0.277 0.500 0.134
P2 P 0.482 0.000 0.259
Br1 Br 0.371 0.000 0.758
```

# 4
Material: AlPBr2
Method: DFT, PBE
State: optimized geometry

distance to the lowest polymorph of the same formula	1133	meV/atom
raw formation energy	0.541	eV per atom
V	22.5	Å³ per atom
M_tot	0.000	μB/atom

```
data_AlPBr2
_symmetry_space_group_name_H-M 'P 4/m m m'
_symmetry_Int_Tables_number 123
_symmetry_space_group_name_Hall '-P 4 2'
_cell_length_a 5.095
_cell_length_b 5.095
_cell_length_c 3.463
_cell_angle_alpha 90.00
_cell_angle_beta 90.00
_cell_angle_gamma 90.00
loop_
_atom_site_label
_atom_site_type_symbol
_atom_site_fract_x
_atom_site_fract_y
_atom_site_fract_z
Al1 Al 0.000 0.000 0.000
P1 P 0.500 0.500 0.000
Br1 Br 0.000 0.500 0.500
```